No. 1
The following is a PBE-GGA calculation of a relaxed BeAl2Te crystal, from Alexandria via LeMat-Bulk.

Unit cell a=4.501 b=4.501 c=3.732 alpha=90.00 beta=90.00 gamma=90.00
Sites, in units of the cell vectors:
Be1 0.500 0.000 0.500
Te1 0.000 0.500 0.500
Al1 0.000 0.000 0.000
Al2 0.500 0.500 0.000

Results
Its space group is P4/mmm. The calculation puts the formation energy without anion corrections at 12.17 kcal/mol of atoms.

No. 2
The following is a PBE-GGA calculation of a relaxed BeAl2Te crystal, from Alexandria via LeMat-Bulk.

Unit cell a=3.771 b=4.151 c=5.343 alpha=67.51 beta=90.00 gamma=90.00
Sites, in units of the cell vectors:
Be1 0.500 0.250 0.250
Te1 0.500 0.750 0.750
Al1 0.000 0.072 0.032
Al2 0.000 0.428 0.468

Results
Its space group is P2/m. The calculation puts the formation energy without anion corrections at 7.84 kcal/mol of atoms.

No. 3
The following is a PBE-GGA calculation of a relaxed BeAlTe crystal, from Alexandria via LeMat-Bulk.

Unit cell a=3.729 b=4.591 c=8.676 alpha=85.27 beta=78.46 gamma=66.24
Sites, in units of the cell vectors:
Be1 0.484 0.133 0.888
Be2 0.516 0.867 0.112
Te1 0.925 0.871 0.310
Te2 0.075 0.129 0.690
Al1 0.180 0.706 0.926
Al2 0.820 0.294 0.074

Results
Its space group is P-1. The calculation puts the formation energy without anion corrections at 0.68 kcal/mol of atoms.

No. 4
The following is a PBE-GGA calculation of a relaxed Be2AlTe crystal, from Alexandria via LeMat-Bulk.

Unit cell a=3.579 b=3.579 c=5.280 alpha=90.00 beta=90.00 gamma=90.00
Sites, in units of the cell vectors:
Be1 0.000 0.000 0.877
Be2 0.500 0.500 0.375
Te1 0.000 0.000 0.375
Al1 0.500 0.500 0.873

Results
Its space group is P4mm. The calculation puts the formation energy without anion corrections at 11.54 kcal/mol of atoms.

no.,M_tot (μB/f.u.)
1,0.0
2,0.0
3,0.0
4,0.0